Hg2AuSe: relaxed, PBEsol.

a b c (Å): 5.193 5.193 5.193
angles (deg): 129.55 129.55 74.13
Sites, in units of the cell vectors:
Hg 0.000 0.000 0.000
Hg 0.750 0.250 0.500
Au 0.250 0.750 0.500
Se 0.500 0.500 0.000

=====

HgAu2Se: relaxed, PBEsol.

a b c (Å): 5.229 5.229 5.229
angles (deg): 133.37 133.21 68.20
Sites, in units of the cell vectors:
Hg 0.000 0.000 0.000
Au 0.499 0.499 0.000
Au 0.749 0.249 0.500
Se 0.251 0.751 0.500

=====

Hg2AuSe: relaxed, PBEsol.

a b c (Å): 2.820 2.820 10.916
angles (deg): 90.00 90.00 90.00
Sites, in units of the cell vectors:
Hg 0.000 0.000 0.000
Hg 0.500 0.500 0.278
Au 0.500 0.500 0.776
Se 0.000 0.000 0.561

=====

no.,formation energy from raw total energies (eV/atom),total DFT energy (no corrections) (Ha/atom)
1,0.212,-0.07404
2,0.190,-0.10569
3,0.199,-0.07451